1.
DFT (PBE) results for an optimized crystal structure of Li2ScOs.

Geometry as POSCAR:
```
Li2ScOs
1.0
3.4192 0.0000 0.0000
0.0000 3.4192 0.0000
0.0000 0.0000 5.2297
Li Sc Os
2 1 1
direct
0.0000 0.0000 0.2050
0.0000 0.0000 0.7950
0.5000 0.5000 0.5000
0.5000 0.5000 0.0000
```

Values from the calculation:
- Offset from the most stable computed form: 270.1 meV/atom
- Spin magnetization: 0.00 μB per cell
- N(E_F): 0.5725 states/eV per atom
- Calculated volume: 15.285 Å³ per atom
- SG: No. 123

2.
DFT (PBE) results for an optimized crystal structure of Li2ScOs.

Geometry as POSCAR:
```
Li2ScOs
1.0
2.7492 0.0000 0.0000
0.0000 4.1707 0.0000
-1.0255 0.0000 5.8046
Li Sc Os
2 1 1
direct
0.0000 0.0000 0.0000
0.4344 0.5000 0.2141
0.4035 0.5000 0.6736
0.8596 0.0000 0.4654
```

Values from the calculation:
- Offset from the most stable computed form: 72.5 meV/atom
- Spin magnetization: 0.00 μB per cell
- N(E_F): 0.5537 states/eV per atom
- Calculated volume: 16.639 Å³ per atom
- SG: No. 6

3.
DFT (PBE) results for an optimized crystal structure of Li2ScOs.

Geometry as POSCAR:
```
Li2ScOs
1.0
4.4412 -1.3614 0.0000
4.4412 1.3614 0.0000
-0.4780 0.0000 5.4718
Li Sc Os
2 1 1
direct
0.0000 0.0000 0.0000
0.7494 0.7494 0.2185
0.2407 0.2407 0.6800
0.4959 0.4959 0.4644
```

Values from the calculation:
- Offset from the most stable computed form: 155.9 meV/atom
- Spin magnetization: 0.00 μB per cell
- N(E_F): 0.8268 states/eV per atom
- Calculated volume: 16.542 Å³ per atom
- SG: No. 8

4.
DFT (PBE) results for an optimized crystal structure of LiSc4Os2.

Geometry as POSCAR:
```
LiSc4Os2
1.0
2.2946 1.3248 7.3233
-2.2946 1.3248 7.3233
0.0000 -2.6496 7.3233
Li Sc Os
1 4 2
direct
0.0000 0.0000 0.0000
0.1290 0.1290 0.1290
0.3800 0.3800 0.3800
0.6200 0.6200 0.6200
0.8710 0.8710 0.8710
0.2527 0.2527 0.2527
0.7473 0.7473 0.7473
```

Values from the calculation:
- Spin magnetization: 0.00 μB per cell
- N(E_F): 0.6625 states/eV per atom
- Electronic total energy: -51.80 eV/cell
- Calculated volume: 19.081 Å³ per atom
- SG: No. 166

5.
DFT (PBE) results for an optimized crystal structure of LiScOs.

Geometry as POSCAR:
```
LiScOs
1.0
-1.3693 2.1234 4.1020
1.3693 -2.1234 4.1020
1.3693 2.1234 -4.1020
Li Sc Os
1 1 1
direct
0.0000 0.0000 0.0000
0.3236 0.3236 0.0000
0.6638 0.6638 0.0000
```

Values from the calculation:
- Offset from the most stable computed form: 36.5 meV/atom
- Spin magnetization: 0.00 μB per cell
- N(E_F): 0.6414 states/eV per atom
- Calculated volume: 15.903 Å³ per atom
- SG: No. 44

6.
DFT (PBE) results for an optimized crystal structure of Li2ScOs.

Geometry as POSCAR:
```
Li2ScOs
1.0
2.8064 0.0000 0.0000
0.0000 4.8879 0.0000
-0.6583 0.0000 4.7370
Li Sc Os
2 1 1
direct
0.2251 0.0000 0.2849
0.7749 0.0000 0.7151
0.5000 0.5000 0.0000
0.0000 0.5000 0.5000
```

Values from the calculation:
- Offset from the most stable computed form: 37.6 meV/atom
- Spin magnetization: 0.00 μB per cell
- N(E_F): 0.5740 states/eV per atom
- Calculated volume: 16.245 Å³ per atom
- SG: No. 10

7.
DFT (PBE) results for an optimized crystal structure of Li2ScOs.

Geometry as POSCAR:
```
Li2ScOs
1.0
-2.2325 2.2325 3.1733
2.2325 -2.2325 3.1733
2.2325 2.2325 -3.1733
Li Sc Os
2 1 1
direct
0.0000 0.0000 0.0000
0.7500 0.2500 0.5000
0.5000 0.5000 0.0000
0.2500 0.7500 0.5000
```

Values from the calculation:
- Offset from the most stable computed form: 96.7 meV/atom
- Spin magnetization: 0.00 μB per cell
- N(E_F): 0.5847 states/eV per atom
- Calculated volume: 15.816 Å³ per atom
- SG: No. 119

8.
DFT (PBE) results for an optimized crystal structure of LiScOs.

Geometry as POSCAR:
```
LiScOs
1.0
-1.6630 1.6630 4.2147
1.6630 -1.6630 4.2147
1.6630 1.6630 -4.2147
Li Sc Os
1 1 1
direct
0.0000 0.0000 0.0000
0.3121 0.3121 0.0000
0.6460 0.6460 0.0000
```

Values from the calculation:
- Offset from the most stable computed form: 14.3 meV/atom
- Spin magnetization: 0.00 μB per cell
- N(E_F): 0.4004 states/eV per atom
- Calculated volume: 15.541 Å³ per atom
- SG: No. 107